Entry from Alexandria via LeMat-Bulk: a geometry-optimized Sm3SiHg structure (PBE-GGA).

Cell lengths 9.284, 8.396, 7.209 Å; angles 90.00, 96.71, 90.00 degrees
Sites, in units of the cell vectors:
Sm (0.108, 0.213, 0.025)
Sm (0.108, 0.287, 0.525)
Sm (0.219, 0.619, 0.824)
Sm (0.219, 0.881, 0.324)
Sm (0.384, 0.517, 0.299)
Sm (0.384, 0.983, 0.799)
Sm (0.616, 0.017, 0.201)
Sm (0.616, 0.483, 0.701)
Sm (0.781, 0.119, 0.676)
Sm (0.781, 0.381, 0.176)
Sm (0.892, 0.713, 0.475)
Sm (0.892, 0.787, 0.975)
Si (0.072, 0.547, 0.209)
Si (0.072, 0.953, 0.709)
Si (0.928, 0.047, 0.291)
Si (0.928, 0.453, 0.791)
Hg (0.439, 0.192, 0.464)
Hg (0.439, 0.308, 0.964)
Hg (0.561, 0.692, 0.036)
Hg (0.561, 0.808, 0.536)

Values from the calculation:
magnetization: 0.000 μB per atom
final energy: -4.4400 eV/atom
uncorrected formation energy: -464 meV/atom